Y8Er6Mg after structural relaxation. Source: Alexandria via LeMat-Bulk, functional PBE.

extended XYZ file:
```
15
Lattice="9.879 0.000 0.000 -4.940 8.556 0.000 0.000 0.000 5.690" Properties=species:S:1:pos:R:3 pbc="T T T"
Y -0.854 2.321 1.298
Y -2.503 8.135 1.298
Y 1.583 1.900 4.392
Y 0.000 5.704 1.324
Y 4.940 2.852 4.366
Y 3.357 6.655 1.298
Y 7.442 0.421 4.392
Y 5.794 6.235 4.392
Er -1.425 4.049 4.175
Er -0.720 7.766 4.175
Er 2.794 3.259 1.515
Er 2.146 5.297 4.175
Er 5.660 0.790 1.515
Er 6.365 4.507 1.515
Mg 0.000 0.000 2.845
```

Calculated values
final energy	-5.240	eV/atom
formation energy	0.14	eV/atom
symmetry	P-3, No. 147


Te2PbCl after structural relaxation. Source: Alexandria via LeMat-Bulk, functional PBE.

extended XYZ file:
```
4
Lattice="3.240 0.000 0.000 0.000 5.891 0.000 0.000 0.000 6.329" Properties=species:S:1:pos:R:3 pbc="T T T"
Te 0.000 1.431 0.000
Te 0.000 4.460 0.000
Pb 1.620 2.946 3.165
Cl 1.620 0.000 3.165
```

Calculated values
formation energy from raw total energies	-3.88	kcal/mol of atoms
final energy	-3.128	eV/atom
energy relative to the lowest polymorph listed for this composition	229	meV/atom
symmetry	Pmmm, No. 47


Rb2SmSnTe4 after structural relaxation. Source: Alexandria via LeMat-Bulk, functional PBE.

extended XYZ file:
```
8
Lattice="8.018 0.000 0.000 0.000 4.531 0.000 -2.580 0.000 8.579" Properties=species:S:1:pos:R:3 pbc="T T T"
Rb 0.000 0.000 0.000
Rb 4.009 2.265 0.000
Sm -1.290 2.265 4.290
Sn 2.719 0.000 4.290
Te 0.089 0.000 6.008
Te 1.380 2.265 2.596
Te 4.058 2.265 5.983
Te 5.349 0.000 2.571
```

Calculated values
formation energy from raw total energies	-22.01	kcal/mol of atoms
final energy	-3.857	eV/atom
symmetry	P2/m, No. 10


Ge2WSe after structural relaxation. Source: Alexandria via LeMat-Bulk, functional PBE.

extended XYZ file:
```
8
Lattice="-2.985 2.985 5.732 2.985 -2.985 5.732 2.985 2.985 -5.732" Properties=species:S:1:pos:R:3 pbc="T T T"
Ge 4.478 1.349 -1.433
Ge 1.349 1.493 1.433
Ge -1.493 1.636 4.299
Ge 1.636 1.493 7.165
W 0.000 0.000 0.000
W 0.000 2.985 2.866
Se 2.985 0.000 2.866
Se 0.000 0.000 5.732
```

Calculated values
formation energy from raw total energies	18.36	kcal/mol of atoms
final energy	-5.622	eV/atom
symmetry	I-42d, No. 122


La2YHfRe after structural relaxation. Source: Alexandria via LeMat-Bulk, functional PBE.

extended XYZ file:
```
5
Lattice="5.410 0.000 0.000 0.000 5.410 0.000 0.000 0.000 5.550" Properties=species:S:1:pos:R:3 pbc="T T T"
La 0.000 2.705 0.000
La 2.705 0.000 0.000
Y 0.000 0.000 2.775
Hf 2.705 2.705 2.775
Re 0.000 0.000 0.000
```

Calculated values
final energy	-7.102	eV/atom
formation energy	0.64	eV/atom
symmetry	P4/mmm, No. 123


TiP2NO8 after structural relaxation. Source: Alexandria via LeMat-Bulk, functional PBE.

extended XYZ file:
```
24
Lattice="5.214 0.000 0.000 0.000 6.394 0.000 -0.980 0.000 12.061" Properties=species:S:1:pos:R:3 pbc="T T T"
Ti 0.882 1.599 4.485
Ti 3.352 4.796 7.576
P 0.709 4.796 5.367
P 0.802 4.796 9.847
P 3.432 1.599 2.214
P 3.525 1.599 6.694
N 0.877 4.796 1.614
N 3.357 1.599 10.447
O -0.304 1.599 6.025
O -0.307 4.796 8.789
O 0.855 3.546 4.473
O 0.855 6.045 4.473
O 0.643 3.618 10.837
O 0.643 5.973 10.837
O 2.051 1.599 2.881
O 1.816 4.796 6.440
O 2.418 1.599 5.621
O 2.183 4.796 9.180
O 3.591 0.421 1.224
O 3.591 2.776 1.224
O 3.379 0.349 7.588
O 3.379 2.848 7.588
O 4.541 1.599 3.272
O 4.538 4.796 6.036
```

Calculated values
formation energy from raw total energies	-32.87	kcal/mol of atoms
final energy	-6.984	eV/atom
symmetry	P2_1/m, No. 11


DyTh2Fe after structural relaxation. Source: Alexandria via LeMat-Bulk, functional PBE.

extended XYZ file:
```
4
Lattice="3.510 0.000 0.000 0.000 3.510 0.000 0.000 0.000 8.645" Properties=species:S:1:pos:R:3 pbc="T T T"
Dy 0.000 0.000 0.000
Th 1.755 1.755 2.604
Th 1.755 1.755 6.041
Fe 0.000 0.000 4.323
```

Calculated values
final energy	-6.878	eV/atom
energy relative to the lowest polymorph listed for this composition	161	meV/atom
formation energy	0.10	eV/atom
symmetry	P4/mmm, No. 123


SrLiMnAs2 after structural relaxation. Source: Alexandria via LeMat-Bulk, functional PBE.

extended XYZ file:
```
5
Lattice="-2.109 2.109 5.874 2.109 -2.109 5.874 2.109 2.109 -5.874" Properties=species:S:1:pos:R:3 pbc="T T T"
Sr 0.000 0.000 0.000
Li 2.109 0.000 2.937
Mn 0.000 2.109 2.937
As 0.000 0.000 4.321
As 0.000 0.000 7.426
```

Calculated values
final energy	-5.116	eV/atom
formation energy	-0.70	eV/atom
symmetry	I-4m2, No. 119